(1)
## TlCoW2 (PBE)

Data for a relaxed TlCoW2 crystal.

Structure (POSCAR):
```
TlCoW2
1.0
-0.376 1.960 2.546
-2.986 0.733 -1.006
-2.383 -4.956 3.465
Tl W Co
1 2 1
Direct
0.500 0.500 0.750
0.000 0.000 0.435
0.000 0.000 0.065
0.500 0.500 0.250
```

Calculated values
ΔE_f, eV/atom: 0.72

***

(2)
## TlCoW2 (PBE)

Data for a relaxed TlCoW2 crystal.

Structure (POSCAR):
```
TlCoW2
1.0
-4.334 6.862 -4.673
-6.579 5.857 -3.181
-4.808 7.786 -1.991
W Tl Co
2 1 1
Direct
0.510 0.510 0.510
0.990 0.990 0.990
0.750 0.750 0.750
0.250 0.250 0.250
```

Calculated values
ΔE_f, eV/atom: 0.78

***

(3)
## TlCoW2 (PBE)

Data for a relaxed TlCoW2 crystal.

Structure (POSCAR):
```
TlCoW2
1.0
-1.056 -2.001 2.169
1.478 -2.353 -1.450
5.544 1.160 3.769
Co W Tl
1 2 1
Direct
0.000 0.000 0.455
0.500 0.500 0.272
0.000 0.000 0.043
0.500 0.500 0.729
```

Calculated values
ΔE_f, eV/atom: 0.56

***

(4)
## TlCoW2 (PBE)

Data for a relaxed TlCoW2 crystal.

Structure (POSCAR):
```
TlCoW2
1.0
4.842 0.022 0.000
1.405 4.634 0.000
-3.123 -2.328 2.876
Co W Tl
1 2 1
Direct
0.500 0.500 0.000
0.250 0.750 0.500
0.000 0.000 0.000
0.750 0.250 0.500
```

Calculated values
ΔE_f, eV/atom: 0.77

***

(5)
## TlCoW2 (PBE)

Data for a relaxed TlCoW2 crystal.

Structure (POSCAR):
```
TlCoW2
1.0
9.284 0.019 0.011
8.825 2.884 0.011
8.825 1.415 2.513
Tl Co W
1 1 2
Direct
0.757 0.757 0.757
0.506 0.506 0.506
0.242 0.242 0.242
0.995 0.995 0.995
```

Calculated values
ΔE_f, eV/atom: 0.68

***

(6)
## TlCoW2 (PBE)

Data for a relaxed TlCoW2 crystal.

Structure (POSCAR):
```
TlCoW2
1.0
-2.920 -4.061 -1.715
1.325 -0.115 5.143
-2.533 0.498 1.084
Tl W Co
1 2 1
Direct
0.500 0.500 0.000
0.000 0.000 0.000
0.500 0.000 0.500
0.000 0.500 0.500
```

Calculated values
ΔE_f, eV/atom: 0.84

***

(7)
## TlCoW2 (PBE)

Data for a relaxed TlCoW2 crystal.

Structure (POSCAR):
```
TlCoW2
1.0
4.255 -1.146 0.970
0.835 -3.093 3.177
1.563 -4.069 -1.167
W Co Tl
2 1 1
Direct
0.250 0.250 0.250
0.750 0.750 0.750
0.000 0.000 0.000
0.500 0.500 0.500
```

Calculated values
ΔE_f, eV/atom: 1.06

***

(8)
## YTlCo2 (PBE)

Data for a relaxed YTlCo2 crystal.

Structure (POSCAR):
```
YTlCo2
1.0
3.208 0.008 0.000
-0.008 3.208 0.000
0.000 0.000 7.186
Co Tl Y
2 1 1
Direct
0.500 0.500 0.194
0.000 0.000 0.058
0.000 0.000 0.448
0.500 0.500 0.800
```

Calculated values
ΔE_f, eV/atom: 0.12